1.
# LaB2Os

An optimized crystal structure of LaB2Os (GGA-PBE, Alexandria via LeMat-Bulk).

extended XYZ file:
```
4
Lattice="1.8664 1.0775 5.0153 -1.8664 1.0775 5.0153 0.0000 -2.1551 5.0153" Properties=species:S:1:pos:R:3 pbc="T T T"
La 0.0000 0.0000 0.0000
B 0.0000 0.0000 2.9743
B 0.0000 0.0000 12.0717
Os 0.0000 0.0000 7.5230
```

Calculated values
* space group: R-3m
* DFT formation energy: -0.11 eV per atom
* polymorph energy (0 for the lowest one): 193.9 meV/atom


2.
# Zn3In12Sn5

An optimized crystal structure of Zn3In12Sn5 (GGA-PBE, Alexandria via LeMat-Bulk).

extended XYZ file:
```
80
Lattice="-8.4302 8.4302 8.4302 8.4302 -8.4302 8.4302 8.4302 8.4302 -8.4302" Properties=species:S:1:pos:R:3 pbc="T T T"
Zn 4.2151 2.1076 0.0000
Zn 8.4302 4.2151 -2.1076
Zn 2.1076 0.0000 4.2151
Zn 10.5378 0.0000 4.2151
Zn 0.0000 4.2151 2.1076
Zn 4.2151 -2.1076 8.4302
Zn 4.2151 10.5378 0.0000
Zn 8.4302 4.2151 6.3227
Zn -2.1076 8.4302 4.2151
Zn 6.3227 8.4302 4.2151
Zn 0.0000 4.2151 10.5378
Zn 4.2151 6.3227 8.4302
In 8.0385 -1.5503 2.5322
In 13.0371 -1.6829 2.6648
In 2.5322 -0.3917 1.5503
In 10.1132 5.7654 -4.6068
In 10.9624 0.3917 1.5503
In 10.1132 -2.6648 4.6068
In 1.5503 2.5322 -0.3917
In 11.0951 3.8234 -1.6829
In 5.7654 4.6068 -1.6829
In 6.8800 2.5322 0.3917
In -0.3917 1.5503 2.5322
In 4.6068 -1.6829 5.7654
In 8.0385 6.8800 -2.5322
In 4.6068 1.6829 2.6648
In 6.8800 -2.5322 8.0385
In 5.7654 -4.6068 10.1132
In 2.6648 4.6068 1.6829
In 9.9805 5.8981 0.3917
In 2.5322 8.0385 -1.5503
In 10.1132 2.6648 3.8234
In 1.6829 2.6648 4.6068
In 2.5322 0.3917 6.8800
In 4.6068 10.1132 -2.6648
In 8.0385 1.5503 5.8981
In 0.3917 6.8800 2.5322
In 3.8234 -1.6829 11.0951
In 5.8981 8.0385 1.5503
In 6.7473 5.7654 3.8234
In -1.6829 5.7654 4.6068
In 5.8981 0.3917 9.9805
In -1.5503 2.5322 8.0385
In 5.7654 3.8234 6.7473
In 2.6648 13.0371 -1.6829
In 1.5503 10.9624 0.3917
In 3.8234 6.7473 5.7654
In 0.3917 1.5503 10.9624
In 3.8234 10.1132 2.6648
In 8.8219 6.8800 5.8981
In 1.5503 5.8981 8.0385
In 2.6648 3.8234 10.1132
In -2.6648 4.6068 10.1132
In 6.8800 5.8981 8.8219
In -1.6829 11.0951 3.8234
In -2.5322 8.0385 6.8800
In -1.6829 2.6648 13.0371
In 5.8981 8.8219 6.8800
In -4.6068 10.1132 5.7654
In 0.3917 9.9805 5.8981
Sn 0.0000 0.0000 0.0000
Sn 4.2151 4.2151 -4.2151
Sn 4.2151 -4.2151 4.2151
Sn 8.4302 0.0000 0.0000
Sn 12.6454 2.1076 0.0000
Sn 8.4302 -4.2151 6.3227
Sn 6.3227 8.4302 -4.2151
Sn 6.3227 0.0000 4.2151
Sn 4.2151 6.3227 0.0000
Sn 8.4302 4.2151 2.1076
Sn -4.2151 4.2151 4.2151
Sn 0.0000 8.4302 0.0000
Sn 0.0000 0.0000 8.4302
Sn 4.2151 4.2151 4.2151
Sn 0.0000 4.2151 6.3227
Sn 4.2151 2.1076 8.4302
Sn 2.1076 8.4302 4.2151
Sn 2.1076 0.0000 12.6454
Sn 0.0000 12.6454 2.1076
Sn -4.2151 6.3227 8.4302
```

Calculated values
* space group: Ia-3d
* DFT formation energy: 0.15 eV per atom


3.
# LiHoTh2

An optimized crystal structure of LiHoTh2 (GGA-PBE, Alexandria via LeMat-Bulk).

extended XYZ file:
```
4
Lattice="1.7422 1.0058 11.4827 -1.7422 1.0058 11.4827 0.0000 -2.0117 11.4827" Properties=species:S:1:pos:R:3 pbc="T T T"
Li 0.0000 0.0000 0.0000
Ho 0.0000 0.0000 28.6896
Th 0.0000 0.0000 14.2986
Th 0.0000 0.0000 20.1381
```

Calculated values
* space group: R3m
* DFT formation energy: 0.14 eV per atom
* polymorph energy (0 for the lowest one): 0.0 meV/atom


4.
# Ce2Ho3ErSb6

An optimized crystal structure of Ce2Ho3ErSb6 (GGA-PBE, Alexandria via LeMat-Bulk).

extended XYZ file:
```
12
Lattice="9.6001 -2.2062 0.0000 9.6001 2.2062 0.0000 -2.0270 0.0000 8.5802" Properties=species:S:1:pos:R:3 pbc="T T T"
Ce 2.5048 0.0000 2.8451
Ce 14.6684 0.0000 5.7351
Ho 1.5229 0.0000 7.1584
Ho 8.5866 0.0000 4.2901
Ho 15.6503 0.0000 1.4218
Er 9.6001 0.0000 0.0000
Sb -1.4809 0.0000 6.4510
Sb 4.5451 0.0000 7.9125
Sb 5.5891 0.0000 3.5402
Sb 11.5841 0.0000 5.0400
Sb 12.6282 0.0000 0.6677
Sb 18.6541 0.0000 2.1292
```

Calculated values
* formation energy (no corrections): -1.0854 eV per atom
* space group: C2/m


5.
# AlGa3Ge

An optimized crystal structure of AlGa3Ge (GGA-PBE, Alexandria via LeMat-Bulk).

extended XYZ file:
```
5
Lattice="4.9169 0.0000 0.0000 0.0000 4.9169 0.0000 0.0000 0.0000 4.9169" Properties=species:S:1:pos:R:3 pbc="T T T"
Al 0.0000 0.0000 0.0000
Ga 0.0000 0.0000 2.4584
Ga 0.0000 2.4584 0.0000
Ga 2.4584 0.0000 0.0000
Ge 2.4584 2.4584 2.4584
```

Calculated values
* space group: Pm-3m
* DFT formation energy: 0.50 eV per atom
* polymorph energy (0 for the lowest one): 0.0 meV/atom


6.
# SmHfIrPd

An optimized crystal structure of SmHfIrPd (GGA-PBE, Alexandria via LeMat-Bulk).

extended XYZ file:
```
4
Lattice="0.0000 3.4154 3.4154 3.4154 0.0000 3.4154 3.4154 3.4154 0.0000" Properties=species:S:1:pos:R:3 pbc="T T T"
Sm 0.0000 0.0000 0.0000
Hf 3.4154 3.4154 3.4154
Ir 1.7077 1.7077 1.7077
Pd 5.1230 5.1230 5.1230
```

Calculated values
* space group: F-43m
* DFT formation energy: -0.67 eV per atom


7.
# Rh3Au

An optimized crystal structure of Rh3Au (GGA-PBE, Alexandria via LeMat-Bulk).

extended XYZ file:
```
4
Lattice="4.5840 -1.3950 0.0000 4.5840 1.3950 0.0000 -0.8845 0.0000 4.7308" Properties=species:S:1:pos:R:3 pbc="T T T"
Rh 0.0000 0.0000 0.0000
Rh 1.6672 0.0000 3.6026
Rh 6.6163 0.0000 1.1281
Au 4.1417 0.0000 2.3654
```

Calculated values
* space group: C2/m
* DFT formation energy: 0.15 eV per atom


8.
# LaBeTl2Si

An optimized crystal structure of LaBeTl2Si (GGA-PBE, Alexandria via LeMat-Bulk).

extended XYZ file:
```
5
Lattice="6.0928 0.0000 0.0000 0.0000 6.0928 0.0000 0.0000 0.0000 5.0927" Properties=species:S:1:pos:R:3 pbc="T T T"
La 0.0000 0.0000 0.0000
Be 0.0000 0.0000 2.5463
Tl 0.0000 3.0464 0.0000
Tl 3.0464 0.0000 0.0000
Si 3.0464 3.0464 2.5463
```

Calculated values
* formation energy (no corrections): 1.4101 eV per atom
* space group: P4/mmm


Number 1: M_tot 0.00 μB per formula unit. Number 2: M_tot 0.00 μB per formula unit. Number 3: M_tot 0.00 μB per formula unit. Number 4: M_tot 1.49 μB per formula unit. Number 5: M_tot 0.00 μB per formula unit. Number 6: M_tot 0.00 μB per formula unit. Number 7: M_tot 0.00 μB per formula unit. Number 8: M_tot 0.00 μB per formula unit.